(1)
! ZrAlMoSe2, PBEsol geometry, DFT SCAN; values from VASP
! Energy relative to the elements, uncorrected = 0.431 eV/atom
! SG = P4/mmm, No. 123
&SYSTEM
  ibrav = 0, nat = 5, ntyp = 4
/
ATOMIC_SPECIES
Zr 91.22 Zr.upf
Al 26.98 Al.upf
Mo 95.94 Mo.upf
Se 78.96 Se.upf
ATOMIC_POSITIONS crystal
Zr 0.000 0.000 0.000
Al 0.500 0.500 0.000
Mo 0.000 0.000 0.500
Se 0.000 0.500 0.500
Se 0.500 0.000 0.500
CELL_PARAMETERS angstrom
4.760 0.000 0.000
0.000 4.760 0.000
0.000 0.000 5.178

---

(2)
! TaZn2IrS, PBEsol geometry, DFT SCAN; values from VASP
! Energy relative to the elements, uncorrected = 1.489 eV/atom
! SG = P4/mmm, No. 123
&SYSTEM
  ibrav = 0, nat = 5, ntyp = 4
/
ATOMIC_SPECIES
Ta 180.95 Ta.upf
Zn 65.41 Zn.upf
Ir 192.22 Ir.upf
S 32.06 S.upf
ATOMIC_POSITIONS crystal
Ta 0.000 0.000 0.000
Zn 0.000 0.500 0.000
Zn 0.500 0.000 0.000
Ir 0.000 0.000 0.500
S 0.500 0.500 0.500
CELL_PARAMETERS angstrom
4.969 0.000 0.000
0.000 4.969 0.000
0.000 0.000 4.670

---

(3)
! La18In3Co28, PBEsol geometry, DFT SCAN; values from VASP
! SG = I4/mmm, No. 139
! DFT formation energy = -0.0722 eV/atom
&SYSTEM
  ibrav = 0, nat = 49, ntyp = 3
/
ATOMIC_SPECIES
La 138.91 La.upf
In 114.82 In.upf
Co 58.93 Co.upf
ATOMIC_POSITIONS crystal
La 0.000 0.240 0.240
La 0.000 0.500 0.500
La 0.000 0.760 0.760
La 0.093 0.093 0.668
La 0.093 0.425 0.000
La 0.240 0.000 0.240
La 0.251 0.500 0.751
La 0.425 0.093 0.000
La 0.425 0.425 0.332
La 0.500 0.000 0.500
La 0.500 0.251 0.751
La 0.500 0.749 0.249
La 0.575 0.575 0.668
La 0.575 0.907 0.000
La 0.749 0.500 0.249
La 0.760 0.000 0.760
La 0.907 0.575 0.000
La 0.907 0.907 0.332
In 0.161 0.161 0.000
In 0.500 0.500 0.000
In 0.839 0.839 0.000
Co 0.021 0.227 0.497
Co 0.021 0.524 0.794
Co 0.123 0.749 0.374
Co 0.227 0.021 0.497
Co 0.227 0.730 0.206
Co 0.246 0.246 0.492
Co 0.246 0.754 0.000
Co 0.251 0.625 0.374
Co 0.251 0.877 0.626
Co 0.270 0.476 0.497
Co 0.270 0.773 0.794
Co 0.375 0.749 0.626
Co 0.476 0.270 0.497
Co 0.476 0.979 0.206
Co 0.524 0.021 0.794
Co 0.524 0.730 0.503
Co 0.625 0.251 0.374
Co 0.730 0.227 0.206
Co 0.730 0.524 0.503
Co 0.749 0.123 0.374
Co 0.749 0.375 0.626
Co 0.754 0.246 0.000
Co 0.754 0.754 0.508
Co 0.773 0.270 0.794
Co 0.773 0.979 0.503
Co 0.877 0.251 0.626
Co 0.979 0.476 0.206
Co 0.979 0.773 0.503
CELL_PARAMETERS angstrom
-7.058 7.058 4.676
7.058 -7.058 4.676
7.058 7.058 -4.676

---

(4)
! Ti3HW, PBEsol geometry, DFT SCAN; values from VASP
! SG = Pm-3m, No. 221
! Total DFT energy (no corrections) = -24.25 eV per atom
&SYSTEM
  ibrav = 0, nat = 5, ntyp = 3
/
ATOMIC_SPECIES
Ti 47.87 Ti.upf
H 1.01 H.upf
W 183.84 W.upf
ATOMIC_POSITIONS crystal
Ti 0.000 0.000 0.500
Ti 0.000 0.500 0.000
Ti 0.500 0.000 0.000
H 0.000 0.000 0.000
W 0.500 0.500 0.500
CELL_PARAMETERS angstrom
4.035 0.000 0.000
0.000 4.035 0.000
0.000 0.000 4.035

---

(5)
! Ca2HgH2, PBEsol geometry, DFT SCAN; values from VASP
! SG = I4/mmm, No. 139
! Total DFT energy (no corrections) = -19.52 eV per atom
&SYSTEM
  ibrav = 0, nat = 10, ntyp = 3
/
ATOMIC_SPECIES
Ca 40.08 Ca.upf
Hg 200.59 Hg.upf
H 1.01 H.upf
ATOMIC_POSITIONS crystal
Ca 0.000 0.000 0.151
Ca 0.000 0.000 0.849
Ca 0.500 0.500 0.349
Ca 0.500 0.500 0.651
Hg 0.000 0.000 0.500
Hg 0.500 0.500 0.000
H 0.000 0.500 0.250
H 0.000 0.500 0.750
H 0.500 0.000 0.250
H 0.500 0.000 0.750
CELL_PARAMETERS angstrom
3.786 0.000 0.000
0.000 3.786 0.000
0.000 0.000 12.492

---

(6)
! NaHfPCl2, PBEsol geometry, DFT SCAN; values from VASP
! Energy relative to the elements, uncorrected = -1.167 eV/atom
! SG = P4/mmm, No. 123
! Energy above the lowest structure with this stoichiometry = 0.0 meV per atom
&SYSTEM
  ibrav = 0, nat = 5, ntyp = 4
/
ATOMIC_SPECIES
Na 22.99 Na.upf
Hf 178.49 Hf.upf
P 30.97 P.upf
Cl 35.45 Cl.upf
ATOMIC_POSITIONS crystal
Na 0.000 0.000 0.000
Hf 0.500 0.500 0.500
P 0.500 0.500 0.000
Cl 0.000 0.500 0.500
Cl 0.500 0.000 0.500
CELL_PARAMETERS angstrom
4.970 0.000 0.000
0.000 4.970 0.000
0.000 0.000 5.003

---

(7)
! HfCu3S, PBEsol geometry, DFT SCAN; values from VASP
! Energy relative to the elements, uncorrected = 1.637 eV/atom
! SG = Pm-3m, No. 221
&SYSTEM
  ibrav = 0, nat = 5, ntyp = 3
/
ATOMIC_SPECIES
Hf 178.49 Hf.upf
Cu 63.55 Cu.upf
S 32.06 S.upf
ATOMIC_POSITIONS crystal
Hf 0.000 0.000 0.000
Cu 0.000 0.000 0.500
Cu 0.000 0.500 0.000
Cu 0.500 0.000 0.000
S 0.500 0.500 0.500
CELL_PARAMETERS angstrom
4.769 0.000 0.000
0.000 4.769 0.000
0.000 0.000 4.769

---

(8)
! AlCr3, PBEsol geometry, DFT SCAN; values from VASP
! SG = Cmmm, No. 65
! DFT formation energy = 0.0154 eV/atom
&SYSTEM
  ibrav = 0, nat = 8, ntyp = 2
/
ATOMIC_SPECIES
Al 26.98 Al.upf
Cr 52.00 Cr.upf
ATOMIC_POSITIONS crystal
Al 0.000 0.000 0.000
Al 0.500 0.500 0.000
Cr 0.000 0.000 0.500
Cr 0.000 0.500 0.261
Cr 0.000 0.500 0.739
Cr 0.500 0.000 0.261
Cr 0.500 0.000 0.739
Cr 0.500 0.500 0.500
CELL_PARAMETERS angstrom
2.882 0.000 0.000
0.000 4.114 0.000
0.000 0.000 8.001